*a*
## Os2WF (PBE+U)

Data for a relaxed Os2WF crystal.

- ρ: 16.4 g cm⁻³
- Space group: I-42d
- Total magnetization: 0.000 μB/atom

Lattice parameters (Å, degrees): 6.7280 6.7280 5.4269 51.69 51.69 90.00
Fractional coordinates of all 8 atoms:
1 Os 0.5983 0.1250 0.2500
2 Os 0.1517 0.6250 0.2500
3 Os 0.3750 0.4017 0.7500
4 Os 0.8750 0.8483 0.7500
5 W 0.0000 0.0000 0.0000
6 W 0.7500 0.2500 0.5000
7 F 0.5000 0.5000 0.0000
8 F 0.2500 0.7500 0.5000

*b*
## Os2WF (PBE+U)

Data for a relaxed Os2WF crystal.

- ρ: 16.6 g cm⁻³
- Space group: Fm-3m
- Total magnetization: 0.000 μB/atom

Lattice parameters (Å, degrees): 4.3493 4.3493 4.3493 60.00 60.00 60.00
Fractional coordinates of all 4 atoms:
1 Os 0.2500 0.2500 0.2500
2 Os 0.7500 0.7500 0.7500
3 W 0.5000 0.5000 0.5000
4 F 0.0000 0.0000 0.0000

Tell me which of them is the most stable. Sure, it is *b*.

*a*
## OsWF2 (PBE+U)

Data for a relaxed OsWF2 crystal.

- ρ: 12.6 g cm⁻³
- Space group: R-3m
- Total magnetization: 0.000 μB/atom

Lattice parameters (Å, degrees): 8.6906 8.6906 8.6906 17.90 17.90 17.90
Fractional coordinates of all 4 atoms:
1 Os 0.0000 0.0000 0.0000
2 W 0.5000 0.5000 0.5000
3 F 0.9217 0.9217 0.9217
4 F 0.0783 0.0783 0.0783

*b*
## OsWF2 (PBE+U)

Data for a relaxed OsWF2 crystal.

- ρ: 13.0 g cm⁻³
- Space group: Fm-3m
- Total magnetization: 0.000 μB/atom

Lattice parameters (Å, degrees): 4.2044 4.2044 4.2044 60.00 60.00 60.00
Fractional coordinates of all 4 atoms:
1 Os 0.5000 0.5000 0.5000
2 W 0.0000 0.0000 0.0000
3 F 0.2500 0.2500 0.2500
4 F 0.7500 0.7500 0.7500

*c*
## OsWF2 (PBE+U)

Data for a relaxed OsWF2 crystal.

- ρ: 12.1 g cm⁻³
- Space group: I-42d
- Total magnetization: 0.183 μB/atom

Lattice parameters (Å, degrees): 3.7223 3.7223 8.5969 77.50 77.50 90.00
Each line ends with the local moment (μB).
Fractional coordinates of all 8 atoms:
1 Os 0.0000 0.0000 0.0000  1.22
2 Os 0.7500 0.2500 0.5000  1.21
3 W 0.5000 0.5000 0.0000  -1.89
4 W 0.2500 0.7500 0.5000  -1.89
5 F 0.6161 0.1250 0.2500  0.01
6 F 0.1339 0.6250 0.2500  0.01
7 F 0.3750 0.3839 0.7500  0.01
8 F 0.8750 0.8661 0.7500  0.01

Tell me which of them is the most stable. Sure, it is *a*.

*a*
## Os3WF (PBE+U)

Data for a relaxed Os3WF crystal.

- ρ: 17.3 g cm⁻³
- Space group: Pm-3m
- Total magnetization: 0.182 μB/atom

Lattice parameters (Å, degrees): 4.2055 4.2055 4.2055 90.00 90.00 90.00
Each line ends with the local moment (μB).
Fractional coordinates of all 5 atoms:
1 Os 0.0000 0.5000 0.0000  -0.20
2 Os 0.0000 0.0000 0.5000  -0.13
3 Os 0.5000 0.0000 0.0000  -0.18
4 W 0.5000 0.5000 0.5000  1.31
5 F 0.0000 0.0000 0.0000  0.02

*b*
## Os3WF (PBE+U)

Data for a relaxed Os3WF crystal.

- ρ: 11.5 g cm⁻³
- Space group: Pm-3m
- Total magnetization: 0.883 μB/atom

Lattice parameters (Å, degrees): 4.8210 4.8210 4.8210 90.00 90.00 90.00
Each line ends with the local moment (μB).
Fractional coordinates of all 5 atoms:
1 Os 0.0000 0.5000 0.0000  1.58
2 Os 0.0000 0.0000 0.5000  1.64
3 Os 0.5000 0.0000 0.0000  1.29
4 W 0.0000 0.0000 0.0000  -0.70
5 F 0.5000 0.5000 0.5000  0.23

Tell me which of them is the most stable. Sure, it is *a*.